VASP calculation (PBE-GGA) on a geometry-optimized Be3CdNi structure.

Cell and atoms, written as CIF:
```
data_Be3CdNi
_chemical_formula_sum 'Be3 Cd1 Ni1'
_space_group_name_H-M_alt 'P m -3 m'
_space_group_IT_number 221
_space_group_name_Hall '-P 4 2 3'
_cell_length_a 4.315
_cell_length_b 4.315
_cell_length_c 4.315
_cell_angle_alpha 90.00
_cell_angle_beta 90.00
_cell_angle_gamma 90.00
loop_
_atom_site_label
_atom_site_type_symbol
_atom_site_fract_x
_atom_site_fract_y
_atom_site_fract_z
Be1 Be 0.000 0.000 0.500
Cd1 Cd 0.000 0.000 0.000
Ni1 Ni 0.500 0.500 0.500
```

V (Å³ per atom): 16.067
D(E_F) (states/eV/cell): 2.7
ΔE to the lowest computed polymorph (meV/atom): 975
Calculated density (g/cm3): 4.1
Magnetic moment (μB per formula unit): 0.46